VASP calculation (PBE) on a geometry-optimized PrFe2Ni5 structure.

Results
D(E_F), states/eV/atom: 0.72
Theoretical density, kg/m³: 7924
E_form, eV per atom: 0.020
Electronic total energy, eV/atom: -6.3065

a b c (Å): 3.7337 5.9758 5.9758
angles (deg): 67.89 71.80 71.80
Last column: nearest neighbours and their distance in Å.
Positions (direct):
Ni 0.0000 0.5000 0.5000  2 Fe 2.26
Ni 0.6455 0.5387 0.1704  3 Fe 2.33-2.42, 3 Ni 2.46-2.60
Ni 0.3545 0.8296 0.4613  3 Fe 2.33-2.42, 3 Ni 2.46-2.60
Ni 0.3545 0.4613 0.8296  3 Fe 2.33-2.42, 3 Ni 2.46-2.60
Ni 0.6455 0.1704 0.5387  3 Fe 2.33-2.42, 3 Ni 2.46-2.60
Fe 0.2463 0.2537 0.2537  7 Ni 2.26-2.42
Fe 0.7537 0.7463 0.7463  7 Ni 2.26-2.42
Pr 0.0000 0.0000 0.0000  4 Fe 2.99, 10 Ni 3.12-3.34

***

VASP calculation (PBE) on a geometry-optimized Pr2Fe2Ni15 structure.

Results
D(E_F), states/eV/atom: 1.04
Theoretical density, kg/m³: 8500
E_form, eV per atom: -0.167
Electronic total energy, eV/atom: -6.1250

a b c (Å): 6.3350 6.3350 6.3350
angles (deg): 82.93 82.93 82.93
Last column: nearest neighbours and their distance in Å.
Positions (direct):
Ni 0.0000 0.5000 0.0000  8 Ni 2.40-2.41, 2 Fe 2.58
Ni 0.3411 0.8492 0.3411  8 Ni 2.41-2.59, 1 Fe 2.59
Ni 0.0000 0.0000 0.5000  8 Ni 2.40-2.41, 2 Fe 2.58
Ni 0.7087 0.0000 0.2913  8 Ni 2.40-2.59
Ni 0.5000 0.0000 0.0000  8 Ni 2.40-2.41, 2 Fe 2.58
Ni 0.3411 0.3411 0.8492  8 Ni 2.41-2.59, 1 Fe 2.59
Ni 0.8492 0.3411 0.3411  8 Ni 2.41-2.59, 1 Fe 2.59
Ni 0.6589 0.6589 0.1508  8 Ni 2.41-2.59, 1 Fe 2.59
Ni 0.7087 0.2913 0.0000  8 Ni 2.40-2.59
Ni 0.6589 0.1508 0.6589  8 Ni 2.41-2.59, 1 Fe 2.59
Ni 0.0000 0.2913 0.7087  8 Ni 2.40-2.59
Ni 0.2913 0.0000 0.7087  8 Ni 2.40-2.59
Ni 0.0000 0.7087 0.2913  8 Ni 2.40-2.59
Ni 0.1508 0.6589 0.6589  8 Ni 2.41-2.59, 1 Fe 2.59
Ni 0.2913 0.7087 0.0000  8 Ni 2.40-2.59
Pr 0.3433 0.3433 0.3433  18 Ni 2.99-3.25, 1 Fe 3.06
Pr 0.6567 0.6567 0.6567  18 Ni 2.99-3.25, 1 Fe 3.06
Fe 0.9062 0.9062 0.9062  1 Fe 2.30
Fe 0.0938 0.0938 0.0938  1 Fe 2.30

***

VASP calculation (PBE) on a geometry-optimized Pr2FeNi3Pt12 structure.

Results
D(E_F), states/eV/atom: 0.94
Theoretical density, kg/m³: 14073
E_form, eV per atom: -0.104
Electronic total energy, eV/atom: -6.0958

a b c (Å): 9.3703 9.3703 9.3703
angles (deg): 42.27 42.27 42.27
Last column: nearest neighbours and their distance in Å.
Positions (direct):
Ni 0.5000 0.0000 0.0000  6 Pt 2.48-2.51
Ni 0.0000 0.0000 0.5000  6 Pt 2.48-2.51
Ni 0.0000 0.5000 0.0000  6 Pt 2.48-2.51
Pt 0.6500 0.0711 0.0711  1 Fe 2.42, 1 Ni 2.51, 2 Pt 2.63
Pt 0.1847 0.5869 0.5869  2 Ni 2.48, 4 Pt 2.63-2.72
Pt 0.8153 0.4131 0.4131  2 Ni 2.48, 4 Pt 2.63-2.72
Pt 0.4131 0.8153 0.4131  2 Ni 2.48, 4 Pt 2.63-2.72
Pt 0.5869 0.5869 0.1847  2 Ni 2.48, 4 Pt 2.63-2.72
Pt 0.3500 0.9289 0.9289  1 Fe 2.42, 1 Ni 2.51, 2 Pt 2.63
Pt 0.5869 0.1847 0.5869  2 Ni 2.48, 4 Pt 2.63-2.72
Pt 0.4131 0.4131 0.8153  2 Ni 2.48, 4 Pt 2.63-2.72
Pt 0.0711 0.6500 0.0711  1 Fe 2.42, 1 Ni 2.51, 2 Pt 2.63
Pt 0.0711 0.0711 0.6500  1 Fe 2.42, 1 Ni 2.51, 2 Pt 2.63
Pt 0.9289 0.9289 0.3500  1 Fe 2.42, 1 Ni 2.51, 2 Pt 2.63
Pt 0.9289 0.3500 0.9289  1 Fe 2.42, 1 Ni 2.51, 2 Pt 2.63
Pr 0.6569 0.6569 0.6569  6 Pt 3.03-3.22
Pr 0.3431 0.3431 0.3431  6 Pt 3.03-3.22
Fe 0.0000 0.0000 0.0000  6 Pt 2.42

***

VASP calculation (PBE) on a geometry-optimized PrFeSi2Ni structure.

Results
D(E_F), states/eV/atom: 0.51
Theoretical density, kg/m³: 6506
Energy relative to the elements, uncorrected, eV per atom: -0.681
Electronic total energy, eV/atom: -6.6551

a b c (Å): 3.9725 3.9725 5.7701
angles (deg): 110.13 110.13 90.00
Last column: nearest neighbours and their distance in Å.
Positions (direct):
Si 0.6326 0.6326 0.2652  2 Fe 2.31, 2 Ni 2.31
Si 0.3674 0.3674 0.7348  2 Fe 2.31, 2 Ni 2.31
Pr 0.0000 0.0000 0.0000  8 Si 3.11, 4 Fe 3.21, 4 Ni 3.21
Fe 0.7500 0.2500 0.5000  4 Si 2.31
Ni 0.2500 0.7500 0.5000  4 Si 2.31

***

VASP calculation (PBE) on a geometry-optimized Fe2Ni5Pt12 structure.

Results
ΔE to the lowest computed polymorph, kJ/mol of formula units: 0
D(E_F), states/eV/atom: 1.23
Theoretical density, kg/m³: 16328
E_form, eV per atom: -0.068
Electronic total energy, eV/atom: -6.2955

a b c (Å): 7.1839 7.1839 7.1196
angles (deg): 106.13 107.07 115.70
Last column: nearest neighbours and their distance in Å.
Positions (direct):
Ni 0.5000 0.0000 0.5000  2 Ni 2.70, 10 Pt 2.70-2.78
Ni 0.8975 0.2021 0.0996  8 Pt 2.64-2.70, 1 Ni 2.64, 2 Fe 2.74
Ni 0.1025 0.7979 0.9004  8 Pt 2.64-2.70, 1 Ni 2.64, 2 Fe 2.74
Ni 0.6032 0.2984 0.9016  8 Pt 2.64-2.71, 2 Ni 2.64-2.70, 2 Fe 2.73
Ni 0.3968 0.7016 0.0984  8 Pt 2.64-2.71, 2 Ni 2.64-2.70, 2 Fe 2.73
Pt 0.4525 0.8498 0.8043  5 Ni 2.65-2.72, 5 Pt 2.66-2.75, 1 Fe 2.68
Pt 0.6600 0.4519 0.6103  3 Ni 2.64-2.70, 7 Pt 2.66-2.84, 1 Fe 2.67
Pt 0.9545 0.3517 0.8043  5 Ni 2.65-2.72, 5 Pt 2.66-2.75, 1 Fe 2.68
Pt 0.8416 0.0497 0.3897  3 Ni 2.64-2.70, 7 Pt 2.66-2.84, 1 Fe 2.67
Pt 0.5475 0.1502 0.1957  5 Ni 2.65-2.72, 5 Pt 2.66-2.75, 1 Fe 2.68
Pt 0.3400 0.5481 0.3897  3 Ni 2.64-2.70, 7 Pt 2.66-2.84, 1 Fe 2.67
Pt 0.1584 0.9503 0.6103  3 Ni 2.64-2.70, 7 Pt 2.66-2.84, 1 Fe 2.67
Pt 0.3093 0.4061 0.7154  2 Fe 2.62, 2 Ni 2.64-2.68, 7 Pt 2.70-2.84
Pt 0.0455 0.6483 0.1957  5 Ni 2.65-2.72, 5 Pt 2.66-2.75, 1 Fe 2.68
Pt 0.1892 0.0957 0.2849  2 Fe 2.63, 3 Ni 2.65-2.78, 7 Pt 2.72-2.84
Pt 0.6907 0.5939 0.2846  2 Fe 2.62, 2 Ni 2.64-2.68, 7 Pt 2.70-2.84
Pt 0.8108 0.9043 0.7151  2 Fe 2.63, 3 Ni 2.65-2.78, 7 Pt 2.72-2.84
Fe 0.2506 0.2506 0.0000  8 Pt 2.62-2.68, 4 Ni 2.73-2.74
Fe 0.7494 0.7494 0.0000  8 Pt 2.62-2.68, 4 Ni 2.73-2.74

***

VASP calculation (PBE) on a geometry-optimized Fe3NiPt5 structure.

Results
D(E_F), states/eV/atom: 0.98
Theoretical density, kg/m³: 14904
E_form, eV per atom: -0.043
Electronic total energy, eV/atom: -6.8621

a b c (Å): 6.9062 7.4131 5.3892
angles (deg): 90.00 90.00 76.05
Last column: nearest neighbours and their distance in Å.
Positions (direct):
Pt 0.2036 0.7045 0.7559  5 Fe 2.60-2.87, 4 Pt 2.63-2.76, 2 Ni 2.65-2.68
Pt 0.7964 0.7955 0.7441  5 Fe 2.60-2.87, 4 Pt 2.63-2.76, 2 Ni 2.65-2.68
Pt 0.7964 0.2955 0.2441  5 Fe 2.60-2.87, 4 Pt 2.63-2.76, 2 Ni 2.65-2.68
Pt 0.5000 0.0000 0.0000  4 Pt 2.63, 6 Fe 2.70-2.94
Pt 0.5000 0.5000 0.5000  4 Pt 2.63, 6 Fe 2.70-2.94
Pt 0.2036 0.2045 0.7441  5 Fe 2.60-2.87, 4 Pt 2.63-2.76, 2 Ni 2.65-2.68
Pt 0.7964 0.2955 0.7559  5 Fe 2.60-2.87, 4 Pt 2.63-2.76, 2 Ni 2.65-2.68
Pt 0.7964 0.7955 0.2559  5 Fe 2.60-2.87, 4 Pt 2.63-2.76, 2 Ni 2.65-2.68
Pt 0.2036 0.2045 0.2559  5 Fe 2.60-2.87, 4 Pt 2.63-2.76, 2 Ni 2.65-2.68
Pt 0.2036 0.7045 0.2441  5 Fe 2.60-2.87, 4 Pt 2.63-2.76, 2 Ni 2.65-2.68
Ni 0.0000 0.5000 0.0000  8 Pt 2.65-2.68, 4 Fe 2.69-2.86
Ni 0.0000 0.0000 0.5000  8 Pt 2.65-2.68, 4 Fe 2.69-2.86
Fe 0.4259 0.8745 0.5000  1 Fe 2.33, 2 Pt 2.60
Fe 0.0000 0.0000 0.0000  8 Pt 2.65-2.68, 2 Ni 2.69
Fe 0.4259 0.3745 0.0000  1 Fe 2.33, 2 Pt 2.60
Fe 0.0000 0.5000 0.5000  8 Pt 2.65-2.68, 2 Ni 2.69
Fe 0.5741 0.1255 0.5000  1 Fe 2.33, 2 Pt 2.60
Fe 0.5741 0.6255 0.0000  1 Fe 2.33, 2 Pt 2.60

***

VASP calculation (PBE) on a geometry-optimized FeNiPt structure.

Results
ΔE to the lowest computed polymorph, kJ/mol of formula units: 14
D(E_F), states/eV/atom: 0.88
Theoretical density, kg/m³: 13189
E_form, eV per atom: -0.129
Electronic total energy, eV/atom: -6.8903

a b c (Å): 5.8095 5.8097 2.6632
angles (deg): 76.75 76.75 26.50
Last column: nearest neighbours and their distance in Å.
Positions (direct):
Fe 0.9927 0.9927 0.0073  4 Ni 2.52, 4 Fe 2.66, 4 Pt 2.68
Pt 0.6664 0.6664 0.3336  4 Pt 2.66, 4 Fe 2.68, 4 Ni 2.69
Ni 0.3408 0.3408 0.6592  4 Fe 2.52, 4 Ni 2.66, 4 Pt 2.69

***

VASP calculation (PBE) on a geometry-optimized Fe2Ni4Pt structure.

Results
ΔE to the lowest computed polymorph, kJ/mol of formula units: 0
D(E_F), states/eV/atom: 1.15
Theoretical density, kg/m³: 10012
E_form, eV per atom: 0.145
Electronic total energy, eV/atom: -6.4392

a b c (Å): 6.1248 5.6774 6.7375
angles (deg): 37.36 40.15 46.73
Last column: nearest neighbours and their distance in Å.
Positions (direct):
Ni 0.9049 0.8152 0.5493  5 Ni 2.32-2.56, 2 Fe 2.36-2.59, 1 Pt 2.55
Ni 0.0000 0.5000 0.0000  6 Ni 2.32-2.47, 2 Fe 2.46
Ni 0.0951 0.1848 0.4507  5 Ni 2.32-2.56, 2 Fe 2.36-2.59, 1 Pt 2.55
Ni 0.5000 0.0000 0.0000  2 Fe 2.34, 6 Ni 2.35-2.56
Fe 0.5392 0.6112 0.7017  4 Ni 2.34-2.59, 2 Pt 2.59-2.60
Fe 0.4608 0.3888 0.2983  4 Ni 2.34-2.59, 2 Pt 2.59-2.60
Pt 0.0000 0.0000 0.0000  6 Ni 2.55-2.84, 4 Fe 2.59-2.60

***

Which of these has the lowest theoretical density?
PrFeSi2Ni

***

Among the records above, which one has the lowest theoretical density?
PrFeSi2Ni

***

Which value of theoretical density does entry 1 give?
7924 kg/m³